# Mg3Zn3HgIr2 GGA-PBE optimized geometry
# DFT formation energy = -0.125 eV/atom
# M_tot = 0.0 Bohr magnetons per cell
# N(E_F) = 3.6 states/eV/f.u.
data_Mg3Zn3HgIr2
_chemical_formula_sum 'Mg3 Zn3 Hg1 Ir2'
_space_group_name_H-M_alt 'P -6 2 m'
_space_group_IT_number 189
_space_group_name_Hall 'P -6 -2'
_cell_length_a 7.6118
_cell_length_b 7.6118
_cell_length_c 2.9935
_cell_angle_alpha 90.00
_cell_angle_beta 90.00
_cell_angle_gamma 120.00
loop_
_atom_site_label
_atom_site_type_symbol
_atom_site_fract_x
_atom_site_fract_y
_atom_site_fract_z
Mg1 Mg 0.0000 0.6903 0.0000
Zn1 Zn 0.0000 0.3858 0.5000
Hg1 Hg 0.0000 0.0000 0.5000
Ir1 Ir 0.3333 0.6667 0.0000